1.
Density functional theory data (PBE-GGA) for a relaxed structure of Ca3NCl3.

Output
N(E_F) ... 0.000 states/eV per atom
E above lowest polymorph ... 0.67 eV per formula unit
E_tot ... -4.65 eV per atom
Total magnetization ... 0.14 Bohr magnetons per cell
E_form (uncorrected) ... -1807 meV per atom
Density ... 2.30 Mg/m³

abc: 7.366 7.366 7.186
angles: 95.73 95.73 115.08
Atoms (fractional coordinates):
Ca 0.094 0.094 0.324
Ca 0.176 0.454 0.762
Ca 0.454 0.176 0.762
Ca 0.546 0.824 0.238
Ca 0.824 0.546 0.238
Ca 0.906 0.906 0.676
N 0.182 0.182 0.639
N 0.818 0.818 0.361
Cl 0.187 0.813 0.000
Cl 0.264 0.736 0.500
Cl 0.374 0.374 0.142
Cl 0.626 0.626 0.858
Cl 0.736 0.264 0.500
Cl 0.813 0.187 0.000



2.
Density functional theory data (PBE-GGA) for a relaxed structure of CaN2Cl.

Output
N(E_F) ... 0.499 states/eV per atom
E above lowest polymorph ... 0.00 eV per formula unit
E_tot ... -4.46 eV per atom
Total magnetization ... 2.77 Bohr magnetons per cell
E_form (uncorrected) ... 666 meV per atom
Density ... 2.34 Mg/m³

abc: 6.193 6.193 6.193
angles: 36.01 36.01 36.01
Atoms (fractional coordinates):
Ca 0.000 0.000 0.000
N 0.398 0.398 0.398
N 0.602 0.602 0.602
Cl 0.500 0.500 0.500